VASP calculation (PBE-GGA) on ZrScC after structural relaxation.

```
data_ZrScC
_cell_length_a 11.069
_cell_length_b 3.333
_cell_length_c 5.785
_cell_angle_alpha 90.00
_cell_angle_beta 100.33
_cell_angle_gamma 90.00
_symmetry_space_group_name_H-M 'C 1 2/m 1'
_symmetry_Int_Tables_number 12
loop_
_symmetry_equiv_pos_as_xyz
'x,y,z'
'-x,-y,-z'
'-x,y,-z'
'x,-y,z'
'x+1/2,y+1/2,z'
'-x+1/2,-y+1/2,-z'
'-x+1/2,y+1/2,-z'
'x+1/2,-y+1/2,z'
loop_
_atom_site_label
_atom_site_type_symbol
_atom_site_fract_x
_atom_site_fract_y
_atom_site_fract_z
Zr1 Zr 0.114 0.000 0.369
Sc1 Sc 0.116 0.500 0.876
C1 C 0.000 0.000 0.000
C2 C 0.000 0.500 0.500
```

Values from the calculation:
* crystal system: monoclinic
* total magnetization: 0.0 μB per formula unit
* polymorph energy (0 for the lowest one): 0.000 eV per atom
* formation energy: -1.59 eV/f.u.

VASP calculation (PBE-GGA) on CsBaSe3 after structural relaxation.

```
data_CsBaSe3
_cell_length_a 6.277
_cell_length_b 6.277
_cell_length_c 6.277
_cell_angle_alpha 90.00
_cell_angle_beta 90.00
_cell_angle_gamma 90.00
_symmetry_space_group_name_H-M 'P m -3 m'
_symmetry_Int_Tables_number 221
_symmetry_space_group_name_Hall '-P 4 2 3'
loop_
_atom_site_label
_atom_site_type_symbol
_atom_site_fract_x
_atom_site_fract_y
_atom_site_fract_z
Cs1 Cs 0.000 0.000 0.000
Ba1 Ba 0.500 0.500 0.500
Se1 Se 0.000 0.500 0.500
```

Values from the calculation:
* crystal system: cubic
* total magnetization: 3.0 μB per formula unit
* polymorph energy (0 for the lowest one): 0.000 eV per atom
* energy relative to the elements, uncorrected: -2.9 eV per formula unit

VASP calculation (PBE-GGA) on TlCrTc2Ir after structural relaxation.

```
data_TlCrTc2Ir
_cell_length_a 4.491
_cell_length_b 4.491
_cell_length_c 4.577
_cell_angle_alpha 90.00
_cell_angle_beta 90.00
_cell_angle_gamma 90.00
_symmetry_space_group_name_H-M 'P 4/m m m'
_symmetry_Int_Tables_number 123
_symmetry_space_group_name_Hall '-P 4 2'
loop_
_atom_site_label
_atom_site_type_symbol
_atom_site_fract_x
_atom_site_fract_y
_atom_site_fract_z
Tl1 Tl 0.000 0.000 0.000
Cr1 Cr 0.500 0.500 0.500
Tc1 Tc 0.000 0.500 0.500
Ir1 Ir 0.500 0.500 0.000
```

Values from the calculation:
* crystal system: tetragonal
* total magnetization: 1.5 μB per formula unit
* polymorph energy (0 for the lowest one): 0.000 eV per atom
* formation energy: 5.88 eV/f.u.

- Look up the polymorph energy (0 for the lowest one) of the first one.
  0.000 eV per atom

- What is the formula in the third record?
  TlCrTc2Ir

- The lowest total magnetization belongs to which entry?
  ZrScC

What did the first record say?
VASP calculation (PBE-GGA) on ZrScC after structural relaxation.

```
data_ZrScC
_cell_length_a 11.069
_cell_length_b 3.333
_cell_length_c 5.785
_cell_angle_alpha 90.00
_cell_angle_beta 100.33
_cell_angle_gamma 90.00
_symmetry_space_group_name_H-M 'C 1 2/m 1'
_symmetry_Int_Tables_number 12
loop_
_symmetry_equiv_pos_as_xyz
'x,y,z'
'-x,-y,-z'
'-x,y,-z'
'x,-y,z'
'x+1/2,y+1/2,z'
'-x+1/2,-y+1/2,-z'
'-x+1/2,y+1/2,-z'
'x+1/2,-y+1/2,z'
loop_
_atom_site_label
_atom_site_type_symbol
_atom_site_fract_x
_atom_site_fract_y
_atom_site_fract_z
Zr1 Zr 0.114 0.000 0.369
Sc1 Sc 0.116 0.500 0.876
C1 C 0.000 0.000 0.000
C2 C 0.000 0.500 0.500
```

Values from the calculation:
* crystal system: monoclinic
* total magnetization: 0.0 μB per formula unit
* polymorph energy (0 for the lowest one): 0.000 eV per atom
* formation energy: -1.59 eV/f.u.